The following is a DFT calculation (PBE-GGA) of a geometry-optimized CuPbBr2 structure.

```
CuPbBr2
1.0
3.465 0.000 0.000
0.000 3.465 0.000
0.000 0.000 8.223
Cu Pb Br
1 1 2
Cartesian
0.000 0.000 0.000
0.000 0.000 4.111
1.733 1.733 1.647
1.733 1.733 6.575
```

Computed properties:
Total energy, eV per atom: -2.782
SG: No. 123
Crystal system: tetragonal
Size of the total moment, μB/atom: 0.000
Energy relative to the elements, uncorrected, kJ/mol of atoms: 0.5
Fermi-level density of states, states/eV/atom: 0.48

=====

The following is a DFT calculation (PBE-GGA) of a geometry-optimized LiInRu3 structure.

```
LiInRu3
1.0
4.203 0.000 0.000
0.000 4.203 0.000
0.000 0.000 4.203
Li In Ru
1 1 3
Cartesian
0.000 0.000 0.000
2.101 2.101 2.101
0.000 0.000 2.101
0.000 2.101 0.000
2.101 0.000 0.000
```

Computed properties:
Total energy, eV per atom: -5.596
SG: No. 221
Crystal system: cubic
Size of the total moment, μB/atom: 0.342
Fermi-level density of states, states/eV/atom: 1.30

=====

The following is a DFT calculation (PBE-GGA) of a geometry-optimized NaNpAs structure.

```
NaNpAs
1.0
1.946 1.124 11.604
-1.946 1.124 11.604
0.000 -2.248 11.604
Na Np As
2 2 2
Cartesian
0.000 0.000 4.188
0.000 0.000 30.625
0.000 0.000 11.044
0.000 0.000 23.768
0.000 0.000 13.923
0.000 0.000 20.889
```

Computed properties:
Total energy, eV per atom: -6.545
SG: No. 166
Crystal system: trigonal
Size of the total moment, μB/atom: 0.000
Fermi-level density of states, states/eV/atom: 1.53

=====

The following is a DFT calculation (PBE-GGA) of a geometry-optimized BaTaTc2 structure.

```
BaTaTc2
1.0
-1.525 2.702 5.153
1.525 -2.702 5.153
1.525 2.702 -5.153
Ba Ta Tc
1 1 2
Cartesian
0.000 0.000 0.000
1.525 0.000 3.097
0.000 0.000 5.311
0.000 2.702 2.185
```

Computed properties:
Total energy, eV per atom: -7.665
SG: No. 44
Crystal system: orthorhombic
Size of the total moment, μB/atom: 0.000
Fermi-level density of states, states/eV/atom: 1.42

=====

The following is a DFT calculation (PBE-GGA) of a geometry-optimized Na2PuCl6 structure.

```
Na2PuCl6
1.0
6.530 0.000 0.000
0.000 6.530 0.000
0.000 0.000 12.416
Na Pu Cl
4 2 12
Cartesian
0.000 0.000 2.056
0.000 0.000 10.360
3.265 3.265 4.152
3.265 3.265 8.264
0.000 0.000 6.208
3.265 3.265 0.000
1.252 1.252 4.294
1.252 1.252 8.122
1.417 1.417 0.000
1.848 4.682 6.208
2.013 4.517 1.914
2.013 4.517 10.501
4.517 2.013 1.914
4.517 2.013 10.501
4.682 1.848 6.208
5.113 5.113 0.000
5.278 5.278 4.294
5.278 5.278 8.122
```

Computed properties:
Total energy, eV per atom: -4.862
SG: No. 136
Crystal system: tetragonal
Size of the total moment, μB/atom: 0.444
Energy relative to the elements, uncorrected, kJ/mol of atoms: -168.4
Fermi-level density of states, states/eV/atom: 0.43

=====

The following is a DFT calculation (PBE-GGA) of a geometry-optimized Ga3CoNi12 structure.

```
Ga3CoNi12
1.0
3.566 0.000 0.000
0.000 3.566 0.000
0.000 0.000 14.281
Ga Co Ni
3 1 12
Cartesian
0.000 0.000 0.000
0.000 0.000 3.584
0.000 0.000 10.696
0.000 0.000 7.140
0.000 1.783 1.802
0.000 1.783 5.424
0.000 1.783 8.857
0.000 1.783 12.479
1.783 0.000 1.802
1.783 0.000 5.424
1.783 0.000 8.857
1.783 0.000 12.479
1.783 1.783 0.000
1.783 1.783 3.608
1.783 1.783 7.140
1.783 1.783 10.673
```

Computed properties:
Total energy, eV per atom: -5.561
SG: No. 123
Crystal system: tetragonal
Size of the total moment, μB/atom: 0.376
Fermi-level density of states, states/eV/atom: 1.02